(1)
DFT (PBE) results for a geometry-optimized Pr2GaS structure.

Structure (POSCAR):
```
Pr2GaS
1.0
2.0424 1.1792 7.4409
-2.0424 1.1792 7.4409
0.0000 -2.3583 7.4409
Pr Ga S
2 1 1
Direct
0.2440 0.2440 0.2440 Pr
0.7560 0.7560 0.7560 Pr
0.0000 0.0000 0.0000 Ga
0.5000 0.5000 0.5000 S
```

Results
Formation energy without anion corrections ... -1.251 eV/atom
Total magnetic moment ... 0.0 Bohr magnetons per cell
Polymorph energy (0 for the lowest one) ... 62 meV per atom
E ... -5.429 eV/atom


(2)
DFT (PBE) results for a geometry-optimized Pr2GaS4 structure.

Structure (POSCAR):
```
Pr2GaS4
1.0
6.6412 0.0000 0.0000
0.0000 6.5004 0.0000
-2.3144 0.0000 7.4964
Pr Ga S
4 2 8
Direct
0.2394 0.2500 0.0548 Pr
0.2402 0.2500 0.5644 Pr
0.7598 0.7500 0.4356 Pr
0.7606 0.7500 0.9452 Pr
0.2562 0.7500 0.3140 Ga
0.7438 0.2500 0.6860 Ga
0.0072 0.0055 0.2523 S
0.0072 0.4945 0.2523 S
0.4161 0.7500 0.0902 S
0.4219 0.7500 0.6182 S
0.5781 0.2500 0.3818 S
0.5839 0.2500 0.9098 S
0.9928 0.5055 0.7477 S
0.9928 0.9945 0.7477 S
```

Results
Formation energy without anion corrections ... -1.459 eV/atom
Total magnetic moment ... 0.0 Bohr magnetons per cell
E ... -5.616 eV/atom


(3)
DFT (PBE) results for a geometry-optimized Pr2GaS structure.

Structure (POSCAR):
```
Pr2GaS
1.0
1.9964 1.1526 7.8963
-1.9964 1.1526 7.8963
0.0000 -2.3052 7.8963
Pr Ga S
2 1 1
Direct
0.0000 0.0000 0.0000 Pr
0.1866 0.1866 0.1866 Pr
0.7606 0.7606 0.7606 Ga
0.5918 0.5918 0.5918 S
```

Results
Formation energy without anion corrections ... -1.133 eV/atom
Total magnetic moment ... 0.0 Bohr magnetons per cell
Polymorph energy (0 for the lowest one) ... 179 meV per atom
E ... -5.312 eV/atom


(4)
DFT (PBE) results for a geometry-optimized Pr3GaS6 structure.

Structure (POSCAR):
```
Pr3GaS6
1.0
5.5585 -6.9087 0.0000
5.5585 6.9087 0.0000
0.0000 0.0000 6.6930
Pr Ga S
6 2 12
Direct
0.1017 0.8983 0.5000 Pr
0.2146 0.4156 0.4178 Pr
0.4156 0.2146 0.9178 Pr
0.5844 0.7854 0.4178 Pr
0.7854 0.5844 0.9178 Pr
0.8983 0.1017 0.0000 Pr
0.3025 0.6975 0.8775 Ga
0.6975 0.3025 0.3775 Ga
0.0755 0.6001 0.7102 S
0.1367 0.1855 0.7083 S
0.1855 0.1367 0.2083 S
0.2833 0.7167 0.2181 S
0.3999 0.9245 0.7102 S
0.4588 0.5412 0.7407 S
0.5412 0.4588 0.2407 S
0.6001 0.0755 0.2102 S
0.7167 0.2833 0.7181 S
0.8145 0.8633 0.7083 S
0.8633 0.8145 0.2083 S
0.9245 0.3999 0.2102 S
```

Results
Formation energy without anion corrections ... -1.731 eV/atom
Total magnetic moment ... 0.0 Bohr magnetons per cell
E ... -5.944 eV/atom


(5)
DFT (PBE) results for a geometry-optimized Pr5GaS4 structure.

Structure (POSCAR):
```
Pr5GaS4
1.0
-4.6611 4.6611 2.9308
4.6611 -4.6611 2.9308
4.6611 4.6611 -2.9308
Pr Ga S
5 1 4
Direct
0.0000 0.0000 0.0000 Pr
0.1961 0.3995 0.5956 Pr
0.3995 0.8039 0.2034 Pr
0.6005 0.1961 0.7966 Pr
0.8039 0.6005 0.4044 Pr
0.5000 0.5000 0.0000 Ga
0.1017 0.6996 0.8013 S
0.3004 0.1017 0.4021 S
0.6996 0.8983 0.5979 S
0.8983 0.3004 0.1987 S
```

Results
Formation energy without anion corrections ... -1.744 eV/atom
Total magnetic moment ... 0.0 Bohr magnetons per cell
E ... -6.088 eV/atom


(6)
DFT (PBE) results for a geometry-optimized Pr6GaS5 structure.

Structure (POSCAR):
```
Pr6GaS5
1.0
3.6054 -6.2216 0.0000
3.6054 6.2216 0.0000
-2.3894 0.0000 6.7857
Pr Ga S
6 1 5
Direct
0.0808 0.4164 0.7484 Pr
0.2477 0.2477 0.2498 Pr
0.4164 0.0808 0.7484 Pr
0.5836 0.9192 0.2516 Pr
0.7523 0.7523 0.7502 Pr
0.9192 0.5836 0.2516 Pr
0.5000 0.5000 0.0000 Ga
0.0000 0.0000 0.5000 S
0.1668 0.8332 0.0000 S
0.3348 0.6652 0.5000 S
0.6652 0.3348 0.5000 S
0.8332 0.1668 0.0000 S
```

Results
Formation energy without anion corrections ... -1.783 eV/atom
Total magnetic moment ... 0.0 Bohr magnetons per cell
E ... -6.145 eV/atom


(7)
DFT (PBE) results for a geometry-optimized Pr4Ga2S structure.

Structure (POSCAR):
```
Pr4Ga2S
1.0
6.3004 -2.1655 0.0000
6.3004 2.1655 0.0000
-5.0417 0.0000 7.2580
Pr Ga S
4 2 1
Direct
0.0846 0.0846 0.3740 Pr
0.3255 0.3255 0.9140 Pr
0.6745 0.6745 0.0860 Pr
0.9154 0.9154 0.6260 Pr
0.3840 0.3840 0.3370 Ga
0.6160 0.6160 0.6630 Ga
0.0000 0.0000 0.0000 S
```

Results
Formation energy without anion corrections ... -0.886 eV/atom
Total magnetic moment ... 0.0 Bohr magnetons per cell
E ... -5.071 eV/atom


(8)
DFT (PBE) results for a geometry-optimized Pr4GaSbS9 structure.

Structure (POSCAR):
```
Pr4GaSbS9
1.0
13.9362 0.0000 0.0000
0.0000 7.1720 7.3275
0.0000 -7.1720 7.3275
Pr Ga Sb S
16 4 4 36
Direct
0.1000 0.1739 0.8261 Pr
0.1050 0.6639 0.4407 Pr
0.1820 0.4486 0.1168 Pr
0.1863 0.9022 0.1189 Pr
0.3137 0.4022 0.6189 Pr
0.3180 0.9486 0.6168 Pr
0.3950 0.1639 0.9407 Pr
0.4000 0.6739 0.3261 Pr
0.6000 0.3261 0.6739 Pr
0.6050 0.9407 0.1639 Pr
0.6820 0.6168 0.9486 Pr
0.6863 0.6189 0.4022 Pr
0.8137 0.1189 0.9022 Pr
0.8180 0.1168 0.4486 Pr
0.8950 0.4407 0.6639 Pr
0.9000 0.8261 0.1739 Pr
0.0927 0.1676 0.3762 Ga
0.4073 0.6676 0.8762 Ga
0.5927 0.8762 0.6676 Ga
0.9073 0.3762 0.1676 Ga
0.1130 0.6556 0.8134 Sb
0.3870 0.1556 0.3134 Sb
0.6130 0.3134 0.1556 Sb
0.8870 0.8134 0.6556 Sb
0.0000 0.3586 0.3586 S
0.0000 0.9974 0.9974 S
0.0049 0.3725 0.9863 S
0.0700 0.6782 0.1713 S
0.0801 0.8386 0.6574 S
0.1001 0.4752 0.6560 S
0.1884 0.1709 0.5617 S
0.2010 0.1734 0.2026 S
0.2471 0.8502 0.3819 S
0.2474 0.9894 0.8717 S
0.2529 0.3502 0.8819 S
0.2526 0.4894 0.3717 S
0.2990 0.6734 0.7026 S
0.3116 0.6709 0.0617 S
0.3999 0.9752 0.1560 S
0.4199 0.3386 0.1574 S
0.4300 0.1782 0.6713 S
0.4951 0.8725 0.4863 S
0.5000 0.4974 0.4974 S
0.5000 0.8586 0.8586 S
0.5049 0.4863 0.8725 S
0.5700 0.6713 0.1782 S
0.5801 0.1574 0.3386 S
0.6001 0.1560 0.9752 S
0.6884 0.0617 0.6709 S
0.7010 0.7026 0.6734 S
0.7474 0.3717 0.4894 S
0.7471 0.8819 0.3502 S
0.7529 0.3819 0.8502 S
0.7526 0.8717 0.9894 S
0.7990 0.2026 0.1734 S
0.8116 0.5617 0.1709 S
0.8999 0.6560 0.4752 S
0.9199 0.6574 0.8386 S
0.9300 0.1713 0.6782 S
0.9951 0.9863 0.3725 S
```

Results
Formation energy without anion corrections ... -1.540 eV/atom
Total magnetic moment ... 0.0 Bohr magnetons per cell
E ... -5.767 eV/atom


(9)
DFT (PBE) results for a geometry-optimized Pr8GaSe4S3 structure.

Structure (POSCAR):
```
Pr8GaSe4S3
1.0
4.1985 2.4240 6.9824
-4.1985 2.4240 6.9824
0.0000 -4.8480 6.9824
Pr Ga Se S
8 1 4 3
Direct
0.2436 0.2436 0.2436 Pr
0.2439 0.7464 0.7464 Pr
0.2536 0.2536 0.7561 Pr
0.2536 0.7561 0.2536 Pr
0.7464 0.2439 0.7464 Pr
0.7464 0.7464 0.2439 Pr
0.7561 0.2536 0.2536 Pr
0.7564 0.7564 0.7564 Pr
0.5000 0.5000 0.5000 Ga
0.0000 0.0000 0.0000 Se
0.0000 0.5000 0.5000 Se
0.5000 0.0000 0.5000 Se
0.5000 0.5000 0.0000 Se
0.0000 0.0000 0.5000 S
0.0000 0.5000 0.0000 S
0.5000 0.0000 0.0000 S
```

Results
Formation energy without anion corrections ... -1.767 eV/atom
Total magnetic moment ... 0.0 Bohr magnetons per cell
E ... -5.991 eV/atom


(10)
DFT (PBE) results for a geometry-optimized SrPrGaS4 structure.

Structure (POSCAR):
```
SrPrGaS4
1.0
6.6644 0.0000 0.0000
0.0000 6.6994 0.0000
-2.4283 0.0000 7.8072
Sr Pr Ga S
2 2 2 8
Direct
0.2436 0.2500 0.4362 Sr
0.7564 0.7500 0.5638 Sr
0.2759 0.2500 0.9444 Pr
0.7241 0.7500 0.0556 Pr
0.2641 0.7500 0.1885 Ga
0.7359 0.2500 0.8115 Ga
0.0657 0.7500 0.3693 S
0.0675 0.7500 0.9091 S
0.5004 0.0064 0.2406 S
0.5004 0.4936 0.2406 S
0.4996 0.5064 0.7594 S
0.4996 0.9936 0.7594 S
0.9325 0.2500 0.0909 S
0.9343 0.2500 0.6307 S
```

Results
Formation energy without anion corrections ... -1.584 eV/atom
Total magnetic moment ... 0.0 Bohr magnetons per cell
E ... -5.298 eV/atom


What is the formula in the first record?
Pr2GaS


What did the fifth record say?
DFT (PBE) results for a geometry-optimized Pr5GaS4 structure.

Structure (POSCAR):
```
Pr5GaS4
1.0
-4.6611 4.6611 2.9308
4.6611 -4.6611 2.9308
4.6611 4.6611 -2.9308
Pr Ga S
5 1 4
Direct
0.0000 0.0000 0.0000 Pr
0.1961 0.3995 0.5956 Pr
0.3995 0.8039 0.2034 Pr
0.6005 0.1961 0.7966 Pr
0.8039 0.6005 0.4044 Pr
0.5000 0.5000 0.0000 Ga
0.1017 0.6996 0.8013 S
0.3004 0.1017 0.4021 S
0.6996 0.8983 0.5979 S
0.8983 0.3004 0.1987 S
```

Results
Formation energy without anion corrections ... -1.744 eV/atom
Total magnetic moment ... 0.0 Bohr magnetons per cell
E ... -6.088 eV/atom